Entry 1:
The following is a PBE calculation of a geometry-optimized La2TaTe structure, from Alexandria via LeMat-Bulk.

abc: 3.9938 3.9947 7.3500
angles: 90.00 90.00 90.00
Last column: magnetic moment on the atom in μB.
Positions (direct):
Ta1 0.5000 0.5000 0.2500  1.32
La1 0.0000 0.0000 0.4950  0.15
La2 0.0000 0.0000 0.0050  0.15
Te1 0.5000 0.5000 0.7500  0.03

Values from the calculation:
- VASP energy (eV/atom) = -6.3877

Entry 2:
The following is a PBE calculation of a geometry-optimized LaTaTe structure, from Alexandria via LeMat-Bulk.

abc: 6.5644 6.5643 3.5829
angles: 74.17 74.16 31.67
Positions (direct):
La1 0.9928 0.9928 0.0072
Te1 0.6988 0.6988 0.3012
Ta1 0.3084 0.3084 0.6916

Values from the calculation:
- VASP energy (eV/atom) = -6.8132
- ΔE to the lowest computed polymorph (eV/atom) = 0.000

Entry 3:
The following is a PBE calculation of a geometry-optimized LaTa2Te structure, from Alexandria via LeMat-Bulk.

abc: 4.8585 4.8585 6.5359
angles: 81.28 81.28 41.79
Positions (direct):
Ta1 0.0143 0.0143 0.9168
Te1 0.4871 0.4871 0.5667
La1 0.2486 0.2486 0.2440
Ta2 0.7500 0.7500 0.7725

Values from the calculation:
- VASP energy (eV/atom) = -7.8122

Entry 4:
The following is a PBE calculation of a geometry-optimized La2TaTe structure, from Alexandria via LeMat-Bulk.

abc: 5.2877 5.2877 3.9885
angles: 90.00 90.00 90.00
Positions (direct):
Ta1 0.5000 0.0000 0.5000
La1 0.5000 0.5000 0.0000
Te1 0.0000 0.5000 0.5000
La2 0.0000 0.0000 0.0000

Values from the calculation:
- VASP energy (eV/atom) = -6.3520

Entry 5:
The following is a PBE calculation of a geometry-optimized La2TaTe structure, from Alexandria via LeMat-Bulk.

abc: 3.6247 3.6417 8.9139
angles: 90.00 90.00 90.00
Positions (direct):
La1 0.5000 0.5000 0.3096
Te1 0.5000 0.5000 0.6975
La2 0.0000 0.0000 0.9423
Ta1 0.0000 0.0000 0.5506

Values from the calculation:
- VASP energy (eV/atom) = -6.3104

Entry 6:
The following is a PBE calculation of a geometry-optimized LaTa2Te structure, from Alexandria via LeMat-Bulk.

abc: 3.8021 4.8409 4.9933
angles: 90.00 90.00 90.00
Positions (direct):
Ta1 0.5000 0.5000 0.0000
Ta2 0.0000 0.0000 0.0000
Te1 0.5000 0.0000 0.5000
La1 0.0000 0.5000 0.5000

Values from the calculation:
- VASP energy (eV/atom) = -7.6432